No. 1
! Sm3HoGe2 | Alexandria | GGA-PBE | relaxed; values from VASP
! - electronic total energy (eV/atom) = -5.29
&SYSTEM
  ibrav = 0, nat = 6, ntyp = 3
/
ATOMIC_SPECIES
Sm 150.36 Sm.upf
Ho 164.93 Ho.upf
Ge 72.64 Ge.upf
CELL_PARAMETERS angstrom
-1.8532 0.0003 -4.0181
3.7695 -1.7184 -1.7399
-3.7845 -6.6663 4.1740
ATOMIC_POSITIONS crystal
Sm 0.8196 0.3194 0.6386
Sm 0.5000 0.5000 0.0000
Ho 0.0000 0.0000 0.0000
Ge 0.6331 0.1335 0.2676
Sm 0.1804 0.6806 0.3614
Ge 0.3669 0.8665 0.7324

=====

No. 2
! Sm4Ho3Ge4 | Alexandria | GGA-PBE | relaxed; values from VASP
! - electronic total energy (eV/atom) = -5.25
&SYSTEM
  ibrav = 0, nat = 11, ntyp = 3
/
ATOMIC_SPECIES
Sm 150.36 Sm.upf
Ge 72.64 Ge.upf
Ho 164.93 Ho.upf
CELL_PARAMETERS angstrom
3.5974 0.0000 0.0000
0.0000 8.9380 0.0000
-1.7987 -4.4690 8.8148
ATOMIC_POSITIONS crystal
Sm 0.6680 0.8439 0.3361
Sm 0.3320 0.5079 0.6639
Sm 0.6680 0.4921 0.3361
Ge 0.2779 0.7779 0.5558
Sm 0.3320 0.1561 0.6639
Ho 0.9079 0.9079 0.8159
Ge 0.7221 0.2221 0.4442
Ho 0.0000 0.5000 0.0000
Ge 0.5000 0.7761 0.0000
Ge 0.5000 0.2239 0.0000
Ho 0.0921 0.0921 0.1841

=====

No. 3
! Sm3Ho3Ge4 | Alexandria | GGA-PBE | relaxed; values from VASP
! - electronic total energy (eV/atom) = -5.42
&SYSTEM
  ibrav = 0, nat = 10, ntyp = 3
/
ATOMIC_SPECIES
Ge 72.64 Ge.upf
Ho 164.93 Ho.upf
Sm 150.36 Sm.upf
CELL_PARAMETERS angstrom
-3.9762 0.6981 1.5261
-2.7505 -5.3075 -4.7386
1.1079 -5.3427 5.3307
ATOMIC_POSITIONS crystal
Ge 0.0000 0.1252 0.1197
Ho 0.0000 0.9997 0.4995
Sm 0.5000 0.3248 0.3268
Ge 0.0000 0.6230 0.3770
Ge 0.0000 0.3721 0.6279
Sm 0.5000 0.6732 0.6752
Ho 0.5000 0.1737 0.8263
Ge 0.0000 0.8803 0.8748
Sm 0.5000 0.8275 0.1725
Ho 0.0000 0.5005 0.0003

=====

No. 4
! Sm5Ho2Ge4 | Alexandria | GGA-PBE | relaxed; values from VASP
! - electronic total energy (eV/atom) = -4.94
&SYSTEM
  ibrav = 0, nat = 11, ntyp = 3
/
ATOMIC_SPECIES
Ge 72.64 Ge.upf
Sm 150.36 Sm.upf
Ho 164.93 Ho.upf
CELL_PARAMETERS angstrom
3.8098 0.0000 0.0000
0.0000 8.1636 0.6777
-1.9049 -2.0010 10.4657
ATOMIC_POSITIONS crystal
Ge 0.9727 0.2661 0.9453
Sm 0.1617 0.9724 0.3234
Sm 0.5000 0.0000 0.0000
Sm 0.8383 0.0276 0.6766
Ho 0.2660 0.3352 0.5320
Sm 0.1008 0.4287 0.2016
Ge 0.0273 0.7339 0.0547
Ge 0.3956 0.2843 0.7911
Ge 0.6044 0.7157 0.2089
Sm 0.8992 0.5713 0.7984
Ho 0.7340 0.6648 0.4680

=====

No. 5
! SmHo2Ge2 | Alexandria | GGA-PBE | relaxed; values from VASP
! - electronic total energy (eV/atom) = -5.21
&SYSTEM
  ibrav = 0, nat = 10, ntyp = 3
/
ATOMIC_SPECIES
Sm 150.36 Sm.upf
Ho 164.93 Ho.upf
Ge 72.64 Ge.upf
CELL_PARAMETERS angstrom
-2.7682 3.1428 -0.4944
-1.9413 -0.8791 5.2811
8.9976 7.9059 -0.1218
ATOMIC_POSITIONS crystal
Sm 0.2500 0.8112 0.2199
Ho 0.7500 0.2311 0.1314
Ho 0.2500 0.2961 0.5513
Ge 0.7500 0.6684 0.0213
Ho 0.7500 0.7039 0.4487
Ge 0.2500 0.3316 0.9787
Sm 0.7500 0.1888 0.7801
Ge 0.7500 0.1458 0.3741
Ho 0.2500 0.7689 0.8686
Ge 0.2500 0.8542 0.6259

=====

No. 6
! Sm2Ho2Ge3 | Alexandria | GGA-PBE | relaxed; values from VASP
! - electronic total energy (eV/atom) = -5.27
&SYSTEM
  ibrav = 0, nat = 7, ntyp = 3
/
ATOMIC_SPECIES
Ge 72.64 Ge.upf
Sm 150.36 Sm.upf
Ho 164.93 Ho.upf
CELL_PARAMETERS angstrom
4.6127 -0.0072 0.0016
-2.2981 5.3174 -0.3487
-0.0012 -1.0600 8.0669
ATOMIC_POSITIONS crystal
Ge 0.2048 0.4087 0.7238
Sm 0.8732 0.7459 0.6490
Sm 0.1268 0.2541 0.3510
Ge 0.0000 0.0000 0.0000
Ho 0.6401 0.2798 0.9205
Ho 0.3599 0.7202 0.0795
Ge 0.7952 0.5913 0.2762

=====

No. 7
! SmHoTlGe | Alexandria | GGA-PBE | relaxed; values from VASP
! - electronic total energy (eV/atom) = -4.50
&SYSTEM
  ibrav = 0, nat = 4, ntyp = 4
/
ATOMIC_SPECIES
Ho 164.93 Ho.upf
Ge 72.64 Ge.upf
Tl 204.38 Tl.upf
Sm 150.36 Sm.upf
CELL_PARAMETERS angstrom
-0.8822 -2.8160 -4.3514
3.8738 -0.7536 -3.4741
2.1635 -4.7622 -0.5331
ATOMIC_POSITIONS crystal
Ho 0.0000 0.0000 0.0000
Ge 0.2500 0.2500 0.2500
Tl 0.7500 0.7500 0.7500
Sm 0.5000 0.5000 0.5000

=====

No. 8
! SmHo2Zn2Ge2 | Alexandria | GGA-PBE | relaxed; values from VASP
! - electronic total energy (eV/atom) = -4.12
&SYSTEM
  ibrav = 0, nat = 7, ntyp = 4
/
ATOMIC_SPECIES
Ho 164.93 Ho.upf
Sm 150.36 Sm.upf
Zn 65.41 Zn.upf
Ge 72.64 Ge.upf
CELL_PARAMETERS angstrom
-2.8971 -2.5191 1.5532
0.9818 -3.8823 1.0561
1.8822 1.2958 11.1339
ATOMIC_POSITIONS crystal
Ho 0.1241 0.1241 0.6276
Sm 0.0000 0.0000 0.0000
Zn 0.6082 0.6082 0.1755
Ho 0.8759 0.8759 0.3724
Ge 0.2641 0.2641 0.2077
Ge 0.7359 0.7359 0.7923
Zn 0.3918 0.3918 0.8245

=====

Number 1: magnetic moment 0.0003 μB per atom. Number 2: magnetic moment 0.0000 μB per atom. Number 3: magnetic moment 0.0000 μB per atom. Number 4: magnetic moment 0.0000 μB per atom. Number 5: magnetic moment 0.1563 μB per atom. Number 6: magnetic moment 0.0000 μB per atom. Number 7: magnetic moment 0.0000 μB per atom. Number 8: magnetic moment 0.0000 μB per atom.